# LiTbTmAg PBE relaxed
data_LiTbTmAg
_chemical_formula_sum 'Li1 Tb1 Tm1 Ag1'
_cell_length_a 5.137
_cell_length_b 5.137
_cell_length_c 5.137
_cell_angle_alpha 60.00
_cell_angle_beta 60.00
_cell_angle_gamma 60.00
_symmetry_space_group_name_H-M 'P 1'
_symmetry_Int_Tables_number 1
_symmetry_space_group_name_Hall 'P 1'
loop_
_atom_site_label
_atom_site_fract_x
_atom_site_fract_y
_atom_site_fract_z
Tm1 0.500 0.500 0.500
Tb1 0.000 0.000 0.000
Ag1 0.250 0.250 0.250
Li1 0.750 0.750 0.750
# crystal system = cubic

# LiTbYAg PBE relaxed
data_LiTbYAg
_chemical_formula_sum 'Li1 Tb1 Y1 Ag1'
_cell_length_a 3.697
_cell_length_b 5.133
_cell_length_c 5.172
_cell_angle_alpha 90.00
_cell_angle_beta 90.00
_cell_angle_gamma 90.00
_symmetry_space_group_name_H-M 'P 1'
_symmetry_Int_Tables_number 1
_symmetry_space_group_name_Hall 'P 1'
loop_
_atom_site_label
_atom_site_fract_x
_atom_site_fract_y
_atom_site_fract_z
Li1 0.500 0.500 0.000
Tb1 0.000 0.500 0.500
Y1 0.000 0.000 0.000
Ag1 0.500 0.000 0.500
# crystal system = orthorhombic
# energy relative to the lowest polymorph listed for this composition = 0 meV/atom

# LiTbYAg PBE relaxed
data_LiTbYAg
_chemical_formula_sum 'Li1 Tb1 Y1 Ag1'
_cell_length_a 5.181
_cell_length_b 5.181
_cell_length_c 5.181
_cell_angle_alpha 60.00
_cell_angle_beta 60.00
_cell_angle_gamma 60.00
_symmetry_space_group_name_H-M 'P 1'
_symmetry_Int_Tables_number 1
_symmetry_space_group_name_Hall 'P 1'
loop_
_atom_site_label
_atom_site_fract_x
_atom_site_fract_y
_atom_site_fract_z
Y1 0.750 0.750 0.750
Tb1 0.250 0.250 0.250
Ag1 0.500 0.500 0.500
Li1 0.000 0.000 0.000
# crystal system = cubic
# energy relative to the lowest polymorph listed for this composition = 12 meV/atom

# LiTbZn2Ag4 PBE relaxed
data_LiTbZn2Ag4
_chemical_formula_sum 'Li1 Tb1 Zn2 Ag4'
_cell_length_a 4.631
_cell_length_b 4.631
_cell_length_c 8.265
_cell_angle_alpha 73.73
_cell_angle_beta 73.73
_cell_angle_gamma 60.00
_symmetry_space_group_name_H-M 'P 1'
_symmetry_Int_Tables_number 1
_symmetry_space_group_name_Hall 'P 1'
loop_
_atom_site_label
_atom_site_fract_x
_atom_site_fract_y
_atom_site_fract_z
Li1 0.500 0.500 0.500
Tb1 0.000 0.000 0.000
Zn1 0.748 0.748 0.755
Zn2 0.252 0.252 0.245
Ag1 0.393 0.393 0.822
Ag2 0.869 0.869 0.394
Ag3 0.131 0.131 0.606
Ag4 0.607 0.607 0.178
# crystal system = trigonal

# Li4TcAg PBE relaxed
data_Li4TcAg
_chemical_formula_sum 'Li4 Tc1 Ag1'
_cell_length_a 4.976
_cell_length_b 4.976
_cell_length_c 4.976
_cell_angle_alpha 60.00
_cell_angle_beta 60.00
_cell_angle_gamma 60.00
_symmetry_space_group_name_H-M 'P 1'
_symmetry_Int_Tables_number 1
_symmetry_space_group_name_Hall 'P 1'
loop_
_atom_site_label
_atom_site_fract_x
_atom_site_fract_y
_atom_site_fract_z
Li1 0.873 0.376 0.376
Li2 0.376 0.376 0.873
Li3 0.376 0.873 0.376
Li4 0.376 0.376 0.376
Tc1 0.750 0.750 0.750
Ag1 0.000 0.000 0.000
# crystal system = cubic

# LiTc2Ag PBE relaxed
data_LiTc2Ag
_chemical_formula_sum 'Li1 Tc2 Ag1'
_cell_length_a 4.369
_cell_length_b 4.369
_cell_length_c 4.369
_cell_angle_alpha 60.00
_cell_angle_beta 60.00
_cell_angle_gamma 60.00
_symmetry_space_group_name_H-M 'P 1'
_symmetry_Int_Tables_number 1
_symmetry_space_group_name_Hall 'P 1'
loop_
_atom_site_label
_atom_site_fract_x
_atom_site_fract_y
_atom_site_fract_z
Tc1 0.250 0.250 0.250
Tc2 0.750 0.750 0.750
Ag1 0.500 0.500 0.500
Li1 0.000 0.000 0.000
# crystal system = cubic
# energy relative to the lowest polymorph listed for this composition = 799 meV/atom

# LiTc2Ag PBE relaxed
data_LiTc2Ag
_chemical_formula_sum 'Li1 Tc2 Ag1'
_cell_length_a 9.808
_cell_length_b 9.808
_cell_length_c 9.808
_cell_angle_alpha 15.89
_cell_angle_beta 15.89
_cell_angle_gamma 15.89
_symmetry_space_group_name_H-M 'P 1'
_symmetry_Int_Tables_number 1
_symmetry_space_group_name_Hall 'P 1'
loop_
_atom_site_label
_atom_site_fract_x
_atom_site_fract_y
_atom_site_fract_z
Ag1 0.250 0.250 0.250
Li1 0.750 0.750 0.750
Tc1 0.001 0.001 0.001
Tc2 0.499 0.499 0.499
# crystal system = trigonal
# energy relative to the lowest polymorph listed for this composition = 427 meV/atom

# LiTc2Ag PBE relaxed
data_LiTc2Ag
_chemical_formula_sum 'Li1 Tc2 Ag1'
_cell_length_a 5.394
_cell_length_b 5.011
_cell_length_c 2.598
_cell_angle_alpha 76.55
_cell_angle_beta 82.37
_cell_angle_gamma 114.11
_symmetry_space_group_name_H-M 'P 1'
_symmetry_Int_Tables_number 1
_symmetry_space_group_name_Hall 'P 1'
loop_
_atom_site_label
_atom_site_fract_x
_atom_site_fract_y
_atom_site_fract_z
Ag1 0.500 0.500 0.000
Li1 0.500 0.000 0.500
Tc1 0.000 0.000 0.000
Tc2 0.000 0.500 0.500
# crystal system = monoclinic
# energy relative to the lowest polymorph listed for this composition = 261 meV/atom

# LiTc2Ag PBE relaxed
data_LiTc2Ag
_chemical_formula_sum 'Li1 Tc2 Ag1'
_cell_length_a 2.768
_cell_length_b 3.822
_cell_length_c 5.756
_cell_angle_alpha 90.00
_cell_angle_beta 90.00
_cell_angle_gamma 90.00
_symmetry_space_group_name_H-M 'P 1'
_symmetry_Int_Tables_number 1
_symmetry_space_group_name_Hall 'P 1'
loop_
_atom_site_label
_atom_site_fract_x
_atom_site_fract_y
_atom_site_fract_z
Ag1 0.000 0.000 0.525
Li1 0.500 0.500 0.740
Tc1 0.000 0.000 0.025
Tc2 0.500 0.500 0.210
# crystal system = orthorhombic
# energy relative to the lowest polymorph listed for this composition = 168 meV/atom

# LiTc2Ag PBE relaxed
data_LiTc2Ag
_chemical_formula_sum 'Li1 Tc2 Ag1'
_cell_length_a 2.569
_cell_length_b 2.569
_cell_length_c 9.197
_cell_angle_alpha 90.00
_cell_angle_beta 90.00
_cell_angle_gamma 90.00
_symmetry_space_group_name_H-M 'P 1'
_symmetry_Int_Tables_number 1
_symmetry_space_group_name_Hall 'P 1'
loop_
_atom_site_label
_atom_site_fract_x
_atom_site_fract_y
_atom_site_fract_z
Ag1 0.500 0.500 0.250
Li1 0.500 0.500 0.750
Tc1 0.000 0.000 0.993
Tc2 0.000 0.000 0.507
# crystal system = tetragonal
# energy relative to the lowest polymorph listed for this composition = 369 meV/atom

# LiTc2Ag PBE relaxed
data_LiTc2Ag
_chemical_formula_sum 'Li1 Tc2 Ag1'
_cell_length_a 5.266
_cell_length_b 5.266
_cell_length_c 5.266
_cell_angle_alpha 140.31
_cell_angle_beta 140.31
_cell_angle_gamma 57.39
_symmetry_space_group_name_H-M 'P 1'
_symmetry_Int_Tables_number 1
_symmetry_space_group_name_Hall 'P 1'
loop_
_atom_site_label
_atom_site_fract_x
_atom_site_fract_y
_atom_site_fract_z
Ag1 0.250 0.750 0.500
Li1 0.750 0.250 0.500
Tc1 0.000 0.000 0.000
Tc2 0.500 0.500 0.000
# crystal system = tetragonal
# energy relative to the lowest polymorph listed for this composition = 215 meV/atom

# LiTc2Ag PBE relaxed
data_LiTc2Ag
_chemical_formula_sum 'Li1 Tc2 Ag1'
_cell_length_a 4.575
_cell_length_b 4.575
_cell_length_c 5.252
_cell_angle_alpha 86.10
_cell_angle_beta 86.10
_cell_angle_gamma 33.69
_symmetry_space_group_name_H-M 'P 1'
_symmetry_Int_Tables_number 1
_symmetry_space_group_name_Hall 'P 1'
loop_
_atom_site_label
_atom_site_fract_x
_atom_site_fract_y
_atom_site_fract_z
Ag1 0.497 0.497 0.466
Li1 0.245 0.245 0.268
Tc1 0.999 0.999 0.972
Tc2 0.758 0.758 0.794
# crystal system = monoclinic
# energy relative to the lowest polymorph listed for this composition = 193 meV/atom

# LiTc2Ag PBE relaxed
data_LiTc2Ag
_chemical_formula_sum 'Li1 Tc2 Ag1'
_cell_length_a 5.255
_cell_length_b 5.255
_cell_length_c 2.604
_cell_angle_alpha 90.00
_cell_angle_beta 90.00
_cell_angle_gamma 123.63
_symmetry_space_group_name_H-M 'P 1'
_symmetry_Int_Tables_number 1
_symmetry_space_group_name_Hall 'P 1'
loop_
_atom_site_label
_atom_site_fract_x
_atom_site_fract_y
_atom_site_fract_z
Ag1 0.500 0.000 0.500
Li1 0.000 0.500 0.500
Tc1 0.000 0.000 0.000
Tc2 0.500 0.500 0.000
# crystal system = orthorhombic
# energy relative to the lowest polymorph listed for this composition = 248 meV/atom

# LiTc2Ag PBE relaxed
data_LiTc2Ag
_chemical_formula_sum 'Li1 Tc2 Ag1'
_cell_length_a 3.002
_cell_length_b 3.002
_cell_length_c 6.715
_cell_angle_alpha 90.00
_cell_angle_beta 90.00
_cell_angle_gamma 90.00
_symmetry_space_group_name_H-M 'P 1'
_symmetry_Int_Tables_number 1
_symmetry_space_group_name_Hall 'P 1'
loop_
_atom_site_label
_atom_site_fract_x
_atom_site_fract_y
_atom_site_fract_z
Ag1 0.000 0.000 0.526
Li1 0.500 0.500 0.755
Tc1 0.000 0.000 0.008
Tc2 0.500 0.500 0.210
# crystal system = tetragonal
# energy relative to the lowest polymorph listed for this composition = 79 meV/atom

# LiTc2Ag PBE relaxed
data_LiTc2Ag
_chemical_formula_sum 'Li1 Tc2 Ag1'
_cell_length_a 4.622
_cell_length_b 3.572
_cell_length_c 3.572
_cell_angle_alpha 90.00
_cell_angle_beta 90.00
_cell_angle_gamma 90.00
_symmetry_space_group_name_H-M 'P 1'
_symmetry_Int_Tables_number 1
_symmetry_space_group_name_Hall 'P 1'
loop_
_atom_site_label
_atom_site_fract_x
_atom_site_fract_y
_atom_site_fract_z
Ag1 0.500 0.500 0.000
Li1 0.500 0.000 0.500
Tc1 0.000 0.000 0.000
Tc2 0.000 0.500 0.500
# crystal system = tetragonal
# energy relative to the lowest polymorph listed for this composition = 204 meV/atom

Number 1: ΔH_f (0 K) -99 meV/atom. Number 2: ΔH_f (0 K) -113 meV/atom. Number 3: ΔH_f (0 K) -101 meV/atom. Number 4: ΔH_f (0 K) -199 meV/atom. Number 5: ΔH_f (0 K) 388 meV/atom. Number 6: ΔH_f (0 K) 900 meV/atom. Number 7: ΔH_f (0 K) 528 meV/atom. Number 8: ΔH_f (0 K) 363 meV/atom. Number 9: ΔH_f (0 K) 269 meV/atom. Number 10: ΔH_f (0 K) 470 meV/atom. Number 11: ΔH_f (0 K) 317 meV/atom. Number 12: ΔH_f (0 K) 294 meV/atom. Number 13: ΔH_f (0 K) 350 meV/atom. Number 14: ΔH_f (0 K) 181 meV/atom. Number 15: ΔH_f (0 K) 305 meV/atom.